The following is a PBE calculation of KMgB3 after structural relaxation, from Alexandria via LeMat-Bulk.

Lattice parameters (Å, degrees): 4.5899 4.5899 4.5899 90.00 90.00 90.00
With the nearest neighbours (Å) after each atom.
Fractional coordinates of all 5 atoms:
K1 0.0000 0.0000 0.0000  12 B 3.25
Mg1 0.5000 0.5000 0.5000  6 B 2.29
B1 0.0000 0.5000 0.5000  2 Mg 2.29
B2 0.5000 0.0000 0.5000  2 Mg 2.29
B3 0.5000 0.5000 0.0000  2 Mg 2.29

Total magnetic moment in μB/f.u.: 0.000
Space group: Pm-3m
Formation energy from the elements in kJ/mol of formula units: 952.0
Mass density in g/cm³: 1.6
Offset from the most stable computed form in meV per atom: 0


The following is a PBE calculation of KMg3B after structural relaxation, from Alexandria via LeMat-Bulk.

Lattice parameters (Å, degrees): 4.8773 4.8773 4.8773 90.00 90.00 90.00
With the nearest neighbours (Å) after each atom.
Fractional coordinates of all 5 atoms:
K1 0.0000 0.0000 0.0000  12 Mg 3.45
Mg1 0.0000 0.5000 0.5000  2 B 2.44
Mg2 0.5000 0.0000 0.5000  2 B 2.44
Mg3 0.5000 0.5000 0.0000  2 B 2.44
B1 0.5000 0.5000 0.5000  6 Mg 2.44

Total magnetic moment in μB/f.u.: 0.000
Space group: Pm-3m
Formation energy from the elements in kJ/mol of formula units: 194.6
Mass density in g/cm³: 1.8
Offset from the most stable computed form in meV per atom: 0